(1)
A relaxed RbMgF3 crystal, computed with GGA-PBE.

Cell and atoms, written as extended XYZ:
```
5
Lattice="4.899 0.000 0.000 0.000 4.899 0.000 0.000 0.000 4.899" Properties=species:S:1:pos:R:3 pbc="T T T"
Rb 0.000 0.000 0.000
Mg 2.450 2.450 2.450
F 0.000 0.000 2.450
F 0.000 2.450 0.000
F 2.450 0.000 0.000
```

Summary:
**Excess energy over the best structure of this formula in the dataset**: 1777 meV per atom
**Formation energy without anion corrections**: -1483 meV/atom
**Total energy**: -3.12 eV per atom
**M_tot**: 0.001 μB per cell
**Density**: 2.35 g cm⁻³

---

(2)
A relaxed Rb12Mg3F5 crystal, computed with GGA-PBE.

Cell and atoms, written as extended XYZ:
```
80
Lattice="-9.662 9.662 9.662 9.662 -9.662 9.662 9.662 9.662 -9.662" Properties=species:S:1:pos:R:3 pbc="T T T"
Rb 2.823 -0.763 0.799
Rb 11.670 5.630 -5.594
Rb 12.486 0.763 0.799
Rb 11.670 -4.032 5.594
Rb 8.899 -0.799 2.823
Rb 15.256 -2.008 4.032
Rb 0.799 2.823 -0.763
Rb 13.694 4.068 -2.008
Rb 5.630 5.594 -2.008
Rb 8.863 2.823 0.763
Rb -0.763 0.799 2.823
Rb 5.594 -2.008 5.630
Rb 8.899 8.863 -2.823
Rb 5.594 2.008 4.032
Rb 5.630 -5.594 11.670
Rb 8.863 -2.823 8.899
Rb 4.032 5.594 2.008
Rb 10.461 6.839 0.763
Rb 5.594 11.670 -4.032
Rb 8.899 0.799 6.839
Rb 2.823 8.899 -0.799
Rb 11.670 4.032 4.068
Rb 2.008 4.032 5.594
Rb 2.823 0.763 8.863
Rb 6.839 8.899 0.799
Rb 7.655 5.630 4.068
Rb -2.008 5.630 5.594
Rb 6.839 0.763 10.461
Rb 0.763 8.863 2.823
Rb 4.068 -2.008 13.694
Rb -0.799 2.823 8.899
Rb 5.630 4.068 7.655
Rb 0.799 12.486 0.763
Rb 4.032 15.256 -2.008
Rb 4.068 7.655 5.630
Rb 0.763 0.799 12.486
Rb 4.068 11.670 4.032
Rb 10.425 8.863 6.839
Rb 0.799 6.839 8.899
Rb 4.032 4.068 11.670
Rb -4.032 5.594 11.670
Rb 8.863 6.839 10.425
Rb -5.594 11.670 5.630
Rb 0.763 10.461 6.839
Rb -2.008 13.694 4.068
Rb -2.823 8.899 8.863
Rb -2.008 4.032 15.256
Rb 6.839 10.425 8.863
Mg 4.831 2.416 0.000
Mg 9.662 4.831 -2.416
Mg 2.416 0.000 4.831
Mg 12.078 0.000 4.831
Mg 0.000 4.831 2.416
Mg 4.831 -2.416 9.662
Mg 4.831 12.078 0.000
Mg 9.662 4.831 7.247
Mg -2.416 9.662 4.831
Mg 7.247 9.662 4.831
Mg 0.000 4.831 12.078
Mg 4.831 7.247 9.662
F 0.000 0.000 0.000
F 4.831 4.831 -4.831
F 4.831 -4.831 4.831
F 9.662 0.000 0.000
F 14.493 2.416 0.000
F 9.662 -4.831 7.247
F 7.247 9.662 -4.831
F 7.247 0.000 4.831
F 4.831 7.247 0.000
F 9.662 4.831 2.416
F -4.831 4.831 4.831
F 0.000 9.662 0.000
F 0.000 0.000 9.662
F 4.831 4.831 4.831
F 0.000 4.831 7.247
F 4.831 2.416 9.662
F 2.416 9.662 4.831
F 2.416 0.000 14.493
F 0.000 14.493 2.416
F -4.831 7.247 9.662
```

Summary:
**Formation energy without anion corrections**: -1137 meV/atom
**Total energy**: -2.42 eV per atom
**M_tot**: 0.068 μB per cell
**Density**: 2.20 g cm⁻³